Entry 1:
A geometry-optimized ScRe3I structure. Source: Alexandria, functional PBE.

The structure in extended XYZ format:
```
5
Lattice="-0.613 0.753 -4.639 3.676 -2.838 -0.947 -2.928 -3.721 -0.217" Properties=species:S:1:pos:R:3 pbc="T T T"
Re 1.838 -1.419 -0.473
Re -0.307 0.376 -2.319
Re -1.464 -1.860 -0.108
Sc 0.000 0.000 0.000
I 0.067 -2.903 -2.901
```

Summary:
- V (A^3/atom) = 21.3
- polymorph energy (0 for the lowest one) (meV/atom) = 450
- magnetization (μB per cell) = 0.96
- space-group type = Pm-3m (221)


Entry 2:
A geometry-optimized ScReI2 structure. Source: Alexandria, functional PBE.

The structure in extended XYZ format:
```
4
Lattice="-1.252 -4.769 -0.175 -4.335 -1.343 -1.933 -0.145 -2.355 -4.333" Properties=species:S:1:pos:R:3 pbc="T T T"
I -1.433 -2.117 -1.610
I -4.299 -6.350 -4.831
Sc 0.000 0.000 0.000
Re -2.866 -4.233 -3.220
```

Summary:
- V (A^3/atom) = 21.2
- polymorph energy (0 for the lowest one) (meV/atom) = 79
- magnetization (μB per cell) = 0.00
- space-group type = Fm-3m (225)